[1]
The following is a DFT calculation (PBE) of a geometry-optimized Nd3AsC structure.

Computed properties:
- energy (eV per atom) = -6.287
- SG = Pnma, No. 62
- N(E_F) (states/eV per atom) = 0.65
- ΔH_f (0 K) (eV per atom) = -0.651
- total magnetization (μB per cell) = 1.10

a = 8.239 Å, b = 4.023 Å, c = 14.409 Å
α = 90.00°, β = 90.00°, γ = 90.00°
Element x y z (fractional)
Nd1 0.021 0.250 0.102
Nd2 0.164 0.250 0.511
Nd3 0.195 0.750 0.292
Nd4 0.305 0.250 0.792
Nd5 0.336 0.750 0.011
Nd6 0.479 0.750 0.602
Nd7 0.521 0.250 0.398
Nd8 0.664 0.250 0.989
Nd9 0.695 0.750 0.208
Nd10 0.805 0.250 0.708
Nd11 0.836 0.750 0.489
Nd12 0.979 0.750 0.898
As1 0.091 0.750 0.677
As2 0.409 0.250 0.177
As3 0.591 0.750 0.823
As4 0.909 0.250 0.323
C1 0.169 0.250 0.942
C2 0.331 0.750 0.442
C3 0.669 0.250 0.558
C4 0.831 0.750 0.058

=====

[2]
The following is a DFT calculation (PBE) of a geometry-optimized TlAs2Ru structure.

Computed properties:
- energy (eV per atom) = -5.032
- SG = Immm, No. 71
- N(E_F) (states/eV per atom) = 0.59
- ΔH_f (0 K) (eV per atom) = 0.204
- relative energy among the computed polymorphs (meV/atom) = 239
- total magnetization (μB per cell) = 0.00

a = 6.228 Å, b = 6.228 Å, c = 6.228 Å
α = 152.02°, β = 134.40°, γ = 54.36°
Element x y z (fractional)
Tl1 0.000 0.000 0.000
As1 0.311 0.811 0.500
As2 0.689 0.189 0.500
Ru1 0.500 0.500 0.000

=====

Question: The lowest ΔH_f (0 K) belongs to which entry?
Answer: Nd3AsC

=====

Question: Among the records above, which one has the highest energy?
Answer: TlAs2Ru